Entry from the Alexandria database: a relaxed LaAlAs2 crystal (GGA-PBE).

abc: 4.084 4.084 6.264
angles: 90.00 90.00 90.00
Atoms (fractional coordinates):
La  0.000  0.000  0.000
Al  0.500  0.500  0.509
As  0.000  0.000  0.480
As  0.500  0.500  0.905

Results
Space-group type = P4mm, No. 99
Crystal system = tetragonal


Entry from the Alexandria database: a relaxed KHf2ReSn crystal (GGA-PBE).

abc: 5.414 5.414 4.979
angles: 90.00 90.00 90.00
Atoms (fractional coordinates):
K  0.000  0.000  0.000
Hf  0.000  0.500  0.500
Hf  0.500  0.000  0.500
Re  0.500  0.500  0.000
Sn  0.500  0.500  0.500

Results
Space-group type = P4/mmm, No. 123
Crystal system = tetragonal


Entry from the Alexandria database: a relaxed Ca3Pm3HoSe8 crystal (GGA-PBE).

abc: 8.408 8.408 8.408
angles: 59.45 59.45 59.45
Atoms (fractional coordinates):
Ca  0.000  0.500  0.500
Ca  0.500  0.000  0.500
Ca  0.500  0.500  0.000
Pm  0.000  0.000  0.500
Pm  0.000  0.500  0.000
Pm  0.500  0.000  0.000
Ho  0.500  0.500  0.500
Se  0.251  0.251  0.251
Se  0.256  0.256  0.744
Se  0.256  0.744  0.256
Se  0.256  0.744  0.744
Se  0.744  0.256  0.256
Se  0.744  0.256  0.744
Se  0.744  0.744  0.256
Se  0.749  0.749  0.749

Results
Space-group type = R-3m, No. 166
Crystal system = trigonal
Raw formation energy = -1.930 eV per atom


Entry from the Alexandria database: a relaxed TbHo2Er5 crystal (GGA-PBE).

abc: 7.017 14.035 4.957
angles: 90.00 90.00 90.00
Atoms (fractional coordinates):
Tb  0.000  0.000  0.000
Tb  0.500  0.500  0.000
Ho  0.250  0.125  0.500
Ho  0.250  0.625  0.500
Ho  0.750  0.375  0.500
Ho  0.750  0.875  0.500
Er  0.000  0.500  0.000
Er  0.001  0.750  0.000
Er  0.249  0.375  0.500
Er  0.251  0.875  0.500
Er  0.499  0.250  0.000
Er  0.500  0.000  0.000
Er  0.501  0.750  0.000
Er  0.749  0.125  0.500
Er  0.751  0.625  0.500
Er  0.999  0.250  0.000

Results
Energy above the most stable polymorph in this dataset = 0.000 eV/atom
Space-group type = Pbam, No. 55
Crystal system = orthorhombic


Entry from the Alexandria database: a relaxed LiSc3Ge crystal (GGA-PBE).

abc: 5.170 5.170 5.170
angles: 90.00 90.00 90.00
Atoms (fractional coordinates):
Li  0.000  0.000  0.000
Sc  0.000  0.500  0.500
Sc  0.500  0.000  0.500
Sc  0.500  0.500  0.000
Ge  0.500  0.500  0.500

Results
Energy above the most stable polymorph in this dataset = 0.000 eV/atom
Space-group type = Pm-3m, No. 221
Crystal system = cubic


Entry from the Alexandria database: a relaxed Pr3Tm3Sc crystal (GGA-PBE).

abc: 6.600 6.600 10.530
angles: 90.23 90.23 94.31
Atoms (fractional coordinates):
Pr  0.019  0.373  0.745
Pr  0.174  0.174  0.075
Pr  0.373  0.019  0.745
Pr  0.627  0.981  0.255
Pr  0.826  0.826  0.925
Pr  0.981  0.627  0.255
Tm  0.172  0.172  0.432
Tm  0.318  0.682  0.500
Tm  0.322  0.678  0.000
Tm  0.678  0.322  0.000
Tm  0.682  0.318  0.500
Tm  0.828  0.828  0.568
Sc  0.474  0.474  0.252
Sc  0.526  0.526  0.748

Results
Energy above the most stable polymorph in this dataset = 0.075 eV/atom
Space-group type = C2/m, No. 12
Crystal system = monoclinic


no.,DFT total energy (eV/atom)
1,-5.113
2,-5.879
3,-5.444
4,-4.557
5,-5.033
6,-4.751